The following is a DFT calculation (meta-GGA SCAN) of BeCuTeRh2 at its PBEsol-relaxed geometry.

SG ... P4/mmm
Fermi-level density of states ... 2.5 states/eV/cell
E ... -23.745 eV per atom

Structure (POSCAR):
```
BeCuTeRh2
1.0
-1.414 1.378 3.839
2.397 -3.539 2.153
3.834 2.837 0.393
Be Te Rh Cu
1 1 2 1
Direct
0.500 0.000 0.000
0.000 0.000 0.000
0.000 0.000 0.500
0.000 0.500 0.000
0.500 0.500 0.500
```